1.
First-principles (PBE-GGA) data for an optimized crystal structure of Ca2LaSm, as listed in Alexandria.

a = 13.5673 Å, b = 13.5673 Å, c = 13.5673 Å
α = 15.34°, β = 15.34°, γ = 15.34°
Positions (direct):
1 Ca 0.0889 0.0889 0.0889
2 Ca 0.9111 0.9111 0.9111
3 La 0.0000 0.0000 0.0000
4 Sm 0.5000 0.5000 0.5000

## Properties
Its total energy is -12.9 eV per formula unit. The formation energy is 4.22 kcal/mol of atoms.

2.
First-principles (PBE-GGA) data for an optimized crystal structure of LiAcTc2O7, as listed in Alexandria.

a = 9.7731 Å, b = 9.7731 Å, c = 9.7731 Å
α = 156.80°, β = 156.80°, γ = 33.04°
Positions (direct):
1 Li 0.0000 0.0000 0.0000
2 Ac 0.2500 0.7500 0.5000
3 Tc 0.6334 0.1334 0.5000
4 Tc 0.8666 0.3666 0.5000
5 O 0.1438 0.1438 0.0000
6 O 0.3446 0.3446 0.0000
7 O 0.5384 0.0384 0.5000
8 O 0.6554 0.6554 0.0000
9 O 0.7500 0.2500 0.5000
10 O 0.8562 0.8562 0.0000
11 O 0.9616 0.4616 0.5000

## Properties
For the energy relative to the elements, uncorrected, the calculation gives -1907.8 meV per atom. Its total energy is -82.4 eV per formula unit.

3.
First-principles (PBE-GGA) data for an optimized crystal structure of AlPd2Au, as listed in Alexandria.

a = 9.6550 Å, b = 9.6550 Å, c = 9.6550 Å
α = 157.01°, β = 157.01°, γ = 32.74°
Positions (direct):
1 Al 0.0000 0.0000 0.0000
2 Al 0.7500 0.2500 0.5000
3 Pd 0.1166 0.6250 0.9916
4 Pd 0.3750 0.3666 0.4916
5 Pd 0.6334 0.1250 0.0084
6 Pd 0.8750 0.8834 0.5084
7 Au 0.2500 0.7500 0.5000
8 Au 0.5000 0.5000 0.0000

## Properties
Its total energy is -18.3 eV per formula unit. The formation energy is -5.22 kcal/mol of atoms.

4.
First-principles (PBE-GGA) data for an optimized crystal structure of LiZrIn, as listed in Alexandria.

a = 3.2491 Å, b = 4.5114 Å, c = 8.6393 Å
α = 90.00°, β = 90.00°, γ = 90.00°
Positions (direct):
1 Li 0.2500 0.2500 0.0458
2 Li 0.7500 0.7500 0.9542
3 Zr 0.2500 0.7500 0.5993
4 Zr 0.7500 0.2500 0.4007
5 In 0.2500 0.7500 0.2398
6 In 0.7500 0.2500 0.7602

## Properties
Its total energy is -13.9 eV per formula unit. The formation energy is -5.14 kcal/mol of atoms.

5.
First-principles (PBE-GGA) data for an optimized crystal structure of Cs3Th3VS8, as listed in Alexandria.

a = 9.5249 Å, b = 9.5249 Å, c = 9.5249 Å
α = 50.40°, β = 50.40°, γ = 50.40°
Positions (direct):
1 Cs 0.0000 0.5000 0.5000
2 Cs 0.5000 0.0000 0.5000
3 Cs 0.5000 0.5000 0.0000
4 Th 0.0000 0.0000 0.5000
5 Th 0.0000 0.5000 0.0000
6 Th 0.5000 0.0000 0.0000
7 V 0.5000 0.5000 0.5000
8 S 0.2316 0.2316 0.2316
9 S 0.2434 0.7150 0.7150
10 S 0.2850 0.2850 0.7566
11 S 0.2850 0.7566 0.2850
12 S 0.7150 0.2434 0.7150
13 S 0.7150 0.7150 0.2434
14 S 0.7566 0.2850 0.2850
15 S 0.7684 0.7684 0.7684

## Properties
For the energy relative to the elements, uncorrected, the calculation gives -1562.4 meV per atom. Its total energy is -90.4 eV per formula unit.

6.
First-principles (PBE-GGA) data for an optimized crystal structure of NiIrI2, as listed in Alexandria.

a = 4.8405 Å, b = 4.8405 Å, c = 4.8405 Å
α = 60.00°, β = 60.00°, γ = 60.00°
Positions (direct):
1 Ni 0.0000 0.0000 0.0000
2 Ir 0.5000 0.5000 0.5000
3 I 0.2500 0.2500 0.2500
4 I 0.7500 0.7500 0.7500

## Properties
For the energy relative to the elements, uncorrected, the calculation gives 1059.5 meV per atom. Its total energy is -13.5 eV per formula unit.

7.
First-principles (PBE-GGA) data for an optimized crystal structure of ReHg2Pb, as listed in Alexandria.

a = 7.5625 Å, b = 7.5625 Å, c = 7.5625 Å
α = 157.99°, β = 142.16°, γ = 44.20°
Positions (direct):
1 Re 0.0000 0.0000 0.0000
2 Hg 0.1777 0.6777 0.5000
3 Hg 0.5081 0.5081 0.0000
4 Pb 0.8200 0.3200 0.5000

## Properties
Its total energy is -14.2 eV per formula unit. The formation energy is 14.63 kcal/mol of atoms.

8.
First-principles (PBE-GGA) data for an optimized crystal structure of Mn2HgW, as listed in Alexandria.

a = 2.7678 Å, b = 3.3268 Å, c = 6.5766 Å
α = 90.00°, β = 90.00°, γ = 90.00°
Positions (direct):
1 Mn 0.0000 0.0000 0.0000
2 Mn 0.5000 0.5000 0.1495
3 Hg 0.5000 0.5000 0.7083
4 W 0.0000 0.0000 0.3853

## Properties
Its total energy is -29.8 eV per formula unit. The formation energy is 10.63 kcal/mol of atoms.

We obtain total moment values of 0.31, 2.92, 0.00, 0.00, 2.27, 0.00, 0.00, 0.15 μB/f.u. for the records listed above, in that order.